# Al2TcAs | Alexandria | PBE-GGA | optimized geometry
# ΔE_f in eV/f.u.: 0.2
# N(E_F) in states/eV per cell: 3.55
data_Al2TcAs
_space_group_name_H-M_alt 'P m m m'
_space_group_IT_number 47
_space_group_name_Hall '-P 2 2'
_cell_length_a 3.4002
_cell_length_b 4.0443
_cell_length_c 4.5030
_cell_angle_alpha 90.00
_cell_angle_beta 90.00
_cell_angle_gamma 90.00
loop_
_atom_site_label
_atom_site_type_symbol
_atom_site_fract_x
_atom_site_fract_y
_atom_site_fract_z
Al1 Al 0.0000 0.0000 0.0000
Al2 Al 0.5000 0.0000 0.5000
Tc1 Tc 0.0000 0.5000 0.5000
As1 As 0.5000 0.5000 0.0000


# LiAgAsPb | Alexandria | PBE-GGA | optimized geometry
# ΔE_f in eV/f.u.: -0.4
# N(E_F) in states/eV per cell: 4.47
data_LiAgAsPb
_space_group_name_H-M_alt 'F -4 3 m'
_space_group_IT_number 216
_space_group_name_Hall 'F -4 2 3'
_cell_length_a 6.9443
_cell_length_b 6.9443
_cell_length_c 6.9443
_cell_angle_alpha 90.00
_cell_angle_beta 90.00
_cell_angle_gamma 90.00
loop_
_atom_site_label
_atom_site_type_symbol
_atom_site_fract_x
_atom_site_fract_y
_atom_site_fract_z
Li1 Li 0.0000 0.0000 0.0000
Ag1 Ag 0.0000 0.0000 0.5000
As1 As 0.2500 0.2500 0.2500
Pb1 Pb 0.2500 0.2500 0.7500


# Ho5Er2Th2 | Alexandria | PBE-GGA | optimized geometry
# ΔE_f in eV/f.u.: 1.7
# Polymorph energy (0 for the lowest one) in eV/atom: 0.000
# N(E_F) in states/eV per cell: 44.76
data_Ho5Er2Th2
_space_group_name_H-M_alt 'C 1 2 1'
_space_group_IT_number 5
_space_group_name_Hall 'C 2y'
_cell_length_a 16.4690
_cell_length_b 6.6092
_cell_length_c 11.8098
_cell_angle_alpha 90.00
_cell_angle_beta 117.20
_cell_angle_gamma 90.00
loop_
_atom_site_label
_atom_site_type_symbol
_atom_site_fract_x
_atom_site_fract_y
_atom_site_fract_z
Ho1 Ho 0.0478 0.0000 0.3087
Ho2 Ho 0.0636 0.5515 0.3016
Ho3 Ho 0.1137 0.3547 0.8551
Ho4 Ho 0.1755 0.8542 0.9272
Ho5 Ho 0.2291 0.3264 0.4898
Er1 Er 0.1135 0.7329 0.6151
Er2 Er 0.1404 0.1801 0.1387
Th1 Th 0.0000 0.2684 0.5000
Th2 Th 0.0000 0.7109 0.0000
Th3 Th 0.2315 0.6618 0.2253


Look up the N(E_F) of the first one. 3.55 states/eV per cell